No. 1
LaNdPBr | GGA-PBE | optimized geometry

Its energy relative to the elements, uncorrected is -1.53 eV per atom. As for the crystal system: trigonal.

Cell lengths 4.1415, 4.1415, 22.8080 Å; angles 90.00, 90.00, 120.00 degrees
Element x y z (fractional)
1 La 0.0000 0.0000 0.0000
2 La 0.3333 0.6667 0.6667
3 La 0.6667 0.3333 0.3333
4 Nd 0.0000 0.0000 0.8029
5 Nd 0.3333 0.6667 0.4696
6 Nd 0.6667 0.3333 0.1363
7 P 0.0000 0.0000 0.4040
8 P 0.3333 0.6667 0.0707
9 P 0.6667 0.3333 0.7374
10 Br 0.0000 0.0000 0.2317
11 Br 0.3333 0.6667 0.8984
12 Br 0.6667 0.3333 0.5651

No. 2
Ga2HgTe | GGA-PBE | optimized geometry

Its energy relative to the elements, uncorrected is 0.03 eV per atom. As for the crystal system: trigonal. As for the energy relative to the lowest polymorph listed for this composition: 85 meV/atom.

Cell lengths 4.2428, 4.2428, 27.0812 Å; angles 90.00, 90.00, 120.00 degrees
Element x y z (fractional)
1 Ga 0.0000 0.0000 0.1063
2 Ga 0.0000 0.0000 0.8937
3 Ga 0.3333 0.6667 0.5603
4 Ga 0.3333 0.6667 0.7730
5 Ga 0.6667 0.3333 0.2270
6 Ga 0.6667 0.3333 0.4397
7 Hg 0.0000 0.0000 0.0000
8 Hg 0.3333 0.6667 0.6667
9 Hg 0.6667 0.3333 0.3333
10 Te 0.0000 0.0000 0.5000
11 Te 0.3333 0.6667 0.1667
12 Te 0.6667 0.3333 0.8333

No. 3
Al2AsSe | GGA-PBE | optimized geometry

Its energy relative to the elements, uncorrected is 0.06 eV per atom. As for the crystal system: cubic. As for the energy relative to the lowest polymorph listed for this composition: 466 meV/atom.

Cell lengths 6.6302, 6.6302, 6.6302 Å; angles 90.00, 90.00, 90.00 degrees
Element x y z (fractional)
1 Al 0.2500 0.2500 0.2500
2 Al 0.2500 0.2500 0.7500
3 Al 0.2500 0.7500 0.2500
4 Al 0.2500 0.7500 0.7500
5 Al 0.7500 0.2500 0.2500
6 Al 0.7500 0.2500 0.7500
7 Al 0.7500 0.7500 0.2500
8 Al 0.7500 0.7500 0.7500
9 As 0.0000 0.0000 0.0000
10 As 0.0000 0.5000 0.5000
11 As 0.5000 0.0000 0.5000
12 As 0.5000 0.5000 0.0000
13 Se 0.0000 0.0000 0.5000
14 Se 0.0000 0.5000 0.0000
15 Se 0.5000 0.0000 0.0000
16 Se 0.5000 0.5000 0.5000

No. 4
SmScGa2 | GGA-PBE | optimized geometry

The calculation puts the formation enthalpy at 0 K at -13.0 kcal/mol of atoms. As for the crystal system: cubic. As for the energy relative to the lowest polymorph listed for this composition: 21 meV/atom.

Cell lengths 7.0209, 7.0209, 7.0209 Å; angles 90.00, 90.00, 90.00 degrees
Element x y z (fractional)
1 Sm 0.0000 0.0000 0.0000
2 Sm 0.0000 0.5000 0.5000
3 Sm 0.5000 0.0000 0.5000
4 Sm 0.5000 0.5000 0.0000
5 Sc 0.0000 0.0000 0.5000
6 Sc 0.0000 0.5000 0.0000
7 Sc 0.5000 0.0000 0.0000
8 Sc 0.5000 0.5000 0.5000
9 Ga 0.2500 0.2500 0.2500
10 Ga 0.2500 0.2500 0.7500
11 Ga 0.2500 0.7500 0.2500
12 Ga 0.2500 0.7500 0.7500
13 Ga 0.7500 0.2500 0.2500
14 Ga 0.7500 0.2500 0.7500
15 Ga 0.7500 0.7500 0.2500
16 Ga 0.7500 0.7500 0.7500

No. 5
Th6Te3AuSe2 | GGA-PBE | optimized geometry

Its energy relative to the elements, uncorrected is -1.14 eV per atom. As for the crystal system: monoclinic.

Cell lengths 7.4319, 7.4319, 7.8552 Å; angles 99.04, 99.04, 120.32 degrees
Element x y z (fractional)
1 Th 0.0888 0.4247 0.7780
2 Th 0.2341 0.2341 0.2176
3 Th 0.4247 0.0888 0.7780
4 Th 0.5753 0.9112 0.2220
5 Th 0.7659 0.7659 0.7824
6 Th 0.9112 0.5753 0.2220
7 Te 0.0000 0.0000 0.5000
8 Te 0.3364 0.6636 0.5000
9 Te 0.6636 0.3364 0.5000
10 Au 0.5000 0.5000 0.0000
11 Se 0.1684 0.8316 0.0000
12 Se 0.8316 0.1684 0.0000

No. 6
Tb4CdPd3 | GGA-PBE | optimized geometry

The calculation puts the formation enthalpy at 0 K at -16.2 kcal/mol of atoms. As for the crystal system: orthorhombic.

Cell lengths 10.1140, 7.1846, 5.0565 Å; angles 90.00, 90.00, 90.00 degrees
Element x y z (fractional)
1 Tb 0.0000 0.2396 0.0000
2 Tb 0.0000 0.7604 0.0000
3 Tb 0.2500 0.2396 0.5001
4 Tb 0.2500 0.7604 0.5001
5 Tb 0.5000 0.2396 0.0000
6 Tb 0.5000 0.7604 0.0000
7 Tb 0.7500 0.2396 0.4999
8 Tb 0.7500 0.7604 0.4999
9 Cd 0.0000 0.5000 0.5000
10 Cd 0.5000 0.5000 0.5000
11 Pd 0.0000 0.0000 0.5000
12 Pd 0.2500 0.0000 0.9998
13 Pd 0.2500 0.5000 0.0010
14 Pd 0.5000 0.0000 0.5000
15 Pd 0.7500 0.0000 0.0002
16 Pd 0.7500 0.5000 0.9990

No. 7
Ba2AlCd4Sn3 | GGA-PBE | optimized geometry

The calculation puts the formation enthalpy at 0 K at -8.3 kcal/mol of atoms. As for the crystal system: tetragonal.

Cell lengths 4.8425, 4.8425, 12.3507 Å; angles 90.00, 90.00, 90.00 degrees
Element x y z (fractional)
1 Ba 0.0000 0.5000 0.2502
2 Ba 0.5000 0.0000 0.7498
3 Al 0.0000 0.0000 0.5000
4 Cd 0.0000 0.0000 0.0000
5 Cd 0.0000 0.5000 0.6303
6 Cd 0.5000 0.0000 0.3697
7 Cd 0.5000 0.5000 0.0000
8 Sn 0.0000 0.5000 0.8618
9 Sn 0.5000 0.0000 0.1382
10 Sn 0.5000 0.5000 0.5000

No. 8
KPtS2Cl | GGA-PBE | optimized geometry

Its energy relative to the elements, uncorrected is 1.48 eV per atom. As for the crystal system: tetragonal. As for the energy relative to the lowest polymorph listed for this composition: 1844 meV/atom.

Cell lengths 5.4524, 5.4524, 5.3433 Å; angles 90.00, 90.00, 90.00 degrees
Element x y z (fractional)
1 K 0.0000 0.0000 0.0000
2 Pt 0.5000 0.5000 0.5000
3 S 0.0000 0.5000 0.0000
4 S 0.5000 0.0000 0.0000
5 Cl 0.0000 0.0000 0.5000

No. 9
CeEr2Bi | GGA-PBE | optimized geometry

The calculation puts the formation enthalpy at 0 K at -7.3 kcal/mol of atoms. As for the crystal system: tetragonal. As for the energy relative to the lowest polymorph listed for this composition: 0 meV/atom.

Cell lengths 4.9007, 4.9007, 4.7125 Å; angles 90.00, 90.00, 90.00 degrees
Element x y z (fractional)
1 Ce 0.0000 0.0000 0.0000
2 Er 0.0000 0.5000 0.5000
3 Er 0.5000 0.0000 0.5000
4 Bi 0.5000 0.5000 0.0000

No. 10
BaBrCl2 | GGA-PBE | optimized geometry

Its energy relative to the elements, uncorrected is -1.49 eV per atom. As for the crystal system: tetragonal. As for the energy relative to the lowest polymorph listed for this composition: 211 meV/atom.

Cell lengths 5.2536, 5.2536, 20.1878 Å; angles 90.00, 90.00, 90.00 degrees
Element x y z (fractional)
1 Ba 0.0000 0.0000 0.0000
2 Ba 0.0000 0.5000 0.2500
3 Ba 0.5000 0.0000 0.7500
4 Ba 0.5000 0.5000 0.5000
5 Br 0.0000 0.0000 0.5000
6 Br 0.0000 0.5000 0.7500
7 Br 0.5000 0.0000 0.2500
8 Br 0.5000 0.5000 0.0000
9 Cl 0.2287 0.2500 0.1250
10 Cl 0.2500 0.7287 0.3750
11 Cl 0.2500 0.7713 0.8750
12 Cl 0.2713 0.2500 0.6250
13 Cl 0.7287 0.7500 0.6250
14 Cl 0.7500 0.2287 0.8750
15 Cl 0.7500 0.2713 0.3750
16 Cl 0.7713 0.7500 0.1250

Number 1: V 338.76 Å³ per cell, electronic total energy -5.73 eV per atom. Number 2: V 422.19 Å³ per cell, electronic total energy -2.34 eV per atom. Number 3: V 291.46 Å³ per cell, electronic total energy -3.84 eV per atom. Number 4: V 346.09 Å³ per cell, electronic total energy -4.84 eV per atom. Number 5: V 355.36 Å³ per cell, electronic total energy -6.49 eV per atom. Number 6: V 367.43 Å³ per cell, electronic total energy -5.08 eV per atom. Number 7: V 289.62 Å³ per cell, electronic total energy -2.68 eV per atom. Number 8: V 158.85 Å³ per cell, electronic total energy -1.97 eV per atom. Number 9: V 113.18 Å³ per cell, electronic total energy -5.05 eV per atom. Number 10: V 557.19 Å³ per cell, electronic total energy -3.32 eV per atom.